Here is an optimized crystal structure of Pr4CI2Br3 from OQMD. Energies are from PBE-GGA.

Cell lengths 9.656, 9.656, 8.595 Å; angles 101.38, 101.38, 24.24 degrees
Sites, in units of the cell vectors:
1 I 0.833 0.833 0.647
2 I 0.167 0.167 0.353
3 Pr 0.637 0.637 0.065
4 Pr 0.997 0.997 0.205
5 Pr 0.003 0.003 0.795
6 Pr 0.363 0.363 0.935
7 C 0.500 0.500 0.000
8 Br 0.831 0.831 0.174
9 Br 0.500 0.500 0.500
10 Br 0.169 0.169 0.826

Calculated values
SG: C2/m (12)
Total magnetic moment (μB per formula unit): 0.285
Calculated total energy (eV per atom): -4.94
Theoretical density (g/cm3): 5.51